Computed, not measured: a relaxed structure of RbAcTeO5 at the PBE-GGA level of DFT.

The structure in POSCAR format:
```
RbAcTeO5
1.0
4.110 -5.478 0.000
4.110 5.478 0.000
-3.539 0.000 7.895
Rb Ac Te O
2 2 2 10
direct
0.177 0.823 0.750
0.823 0.177 0.250
0.500 0.500 0.000
0.500 0.500 0.500
0.180 0.820 0.250
0.820 0.180 0.750
0.091 0.249 0.904
0.184 0.628 0.369
0.249 0.091 0.404
0.372 0.816 0.131
0.427 0.573 0.750
0.573 0.427 0.250
0.628 0.184 0.869
0.751 0.909 0.596
0.816 0.372 0.631
0.909 0.751 0.096
```

## Properties
Energy ... -0.21903 hartree per atom
Energy relative to the elements, uncorrected ... -176.9 kJ per mole of atoms
SG ... C2/c, No. 15